Material: ZnInF5
Method: DFT, PBE-GGA
State: optimized geometry

Values from the calculation:
**Formation energy from raw total energies**: -2.40 eV/atom

a = 8.832 Å, b = 6.606 Å, c = 7.447 Å
α = 90.00°, β = 114.00°, γ = 90.00°
Space group C2/c (No. 15)
Asymmetric unit:
1 Zn 0.000 0.000 0.000 (multiplicity 4)
2 In 0.000 0.451 0.250 (multiplicity 4)
3 F 0.000 0.118 0.250 (multiplicity 4)
4 F 0.017 0.315 0.962 (multiplicity 8)
5 F 0.247 0.043 0.635 (multiplicity 8)